(1)
First-principles (GGA-PBE) data for a relaxed SrScAgSeS2 crystal, as listed in OQMD via LeMat-Bulk.

**Energy**: -62.20 eV for the cell shown
**Space group**: Cmcm

Cell: 7.0465 7.0465 10.2912 Å, 90.00 90.00 147.34°
Element x y z (fractional)
Sr  0.7345  0.2655  0.2500
Se  0.5943  0.4057  0.7500
S  0.1291  0.8709  0.0488
Sr  0.2655  0.7345  0.7500
Ag  0.0300  0.9700  0.2500
Sc  0.5000  0.5000  0.0000
S  0.1291  0.8709  0.4512
S  0.8709  0.1291  0.9512
Sc  0.5000  0.5000  0.5000
Ag  0.9700  0.0300  0.7500
S  0.8709  0.1291  0.5488
Se  0.4057  0.5943  0.2500

=====

(2)
First-principles (GGA-PBE) data for a relaxed ScAgSnS3 crystal, as listed in OQMD via LeMat-Bulk.

**Space group**: Pnma
**Offset from the most stable computed form**: 0.000 eV/atom

Cell: 10.2214 3.7848 14.1757 Å, 90.00 90.00 90.00°
Element x y z (fractional)
S  0.0198  0.7500  0.3756
S  0.9829  0.7500  0.1277
Sn  0.7480  0.7500  0.4246
Ag  0.7517  0.7500  0.0918
Ag  0.2517  0.7500  0.4082
Sc  0.9960  0.7500  0.7479
S  0.4829  0.7500  0.3723
S  0.5198  0.7500  0.1244
S  0.4802  0.2500  0.8756
Sc  0.0040  0.2500  0.2521
S  0.9802  0.2500  0.6244
Sn  0.7520  0.2500  0.9246
S  0.0171  0.2500  0.8723
Sc  0.4960  0.7500  0.7521
Sn  0.2520  0.2500  0.5754
S  0.7472  0.7500  0.7947
Ag  0.7483  0.2500  0.5918
S  0.7528  0.2500  0.2947
Sn  0.2480  0.7500  0.0754
S  0.5171  0.2500  0.6277
S  0.2528  0.2500  0.2053
S  0.2472  0.7500  0.7053
Sc  0.5040  0.2500  0.2479
Ag  0.2483  0.2500  0.9082

=====

(3)
First-principles (GGA-PBE) data for a relaxed ScAgSnS3 crystal, as listed in OQMD via LeMat-Bulk.

**Space group**: Pnma
**Offset from the most stable computed form**: 0.029 eV/atom

Cell: 11.8134 3.7320 12.3211 Å, 90.00 90.00 90.00°
Element x y z (fractional)
Ag  0.1952  0.2500  0.3909
Ag  0.6952  0.2500  0.1091
S  0.9860  0.7500  0.7085
Ag  0.3048  0.7500  0.8909
S  0.1039  0.7500  0.9474
Sc  0.0177  0.7500  0.1398
Ag  0.8048  0.7500  0.6091
S  0.7356  0.7500  0.3020
S  0.5140  0.2500  0.2085
S  0.6039  0.7500  0.5526
S  0.0140  0.2500  0.2915
Sc  0.5177  0.7500  0.3602
Sn  0.1645  0.7500  0.5860
S  0.8961  0.2500  0.0526
S  0.2644  0.2500  0.6980
Sc  0.4823  0.2500  0.6398
S  0.3961  0.2500  0.4474
S  0.4860  0.7500  0.7915
Sc  0.9823  0.2500  0.8602
Sn  0.3355  0.2500  0.0860
Sn  0.8355  0.2500  0.4140
S  0.2356  0.7500  0.1980
Sn  0.6645  0.7500  0.9140
S  0.7644  0.2500  0.8020

=====

(4)
First-principles (GGA-PBE) data for a relaxed ScAgSnS3 crystal, as listed in OQMD via LeMat-Bulk.

**Space group**: Pnma
**Offset from the most stable computed form**: 0.038 eV/atom

Cell: 8.1867 3.8073 16.8374 Å, 90.00 90.00 90.00°
Element x y z (fractional)
S  0.1330  0.7500  0.3772
Ag  0.0760  0.7500  0.5943
S  0.0652  0.7500  0.7869
Sc  0.3377  0.2500  0.4311
Sn  0.8320  0.2500  0.7795
Ag  0.4240  0.2500  0.0943
S  0.6489  0.2500  0.4643
S  0.1489  0.2500  0.0357
Sc  0.8377  0.2500  0.0689
S  0.9348  0.2500  0.2131
S  0.8670  0.2500  0.6228
S  0.3511  0.7500  0.5357
S  0.6330  0.7500  0.1228
Sn  0.1680  0.7500  0.2205
S  0.5652  0.7500  0.7131
S  0.8511  0.7500  0.9643
Sn  0.3320  0.2500  0.7205
S  0.3670  0.2500  0.8772
Ag  0.9240  0.2500  0.4057
S  0.4348  0.2500  0.2869
Ag  0.5760  0.7500  0.9057
Sc  0.1623  0.7500  0.9311
Sn  0.6680  0.7500  0.2795
Sc  0.6623  0.7500  0.5689

=====

(5)
First-principles (GGA-PBE) data for a relaxed ScAgSnS3 crystal, as listed in OQMD via LeMat-Bulk.

**Space group**: P2_1/m
**Offset from the most stable computed form**: 0.067 eV/atom

Cell: 7.3448 3.8492 9.5435 Å, 90.00 106.24 90.00°
Element x y z (fractional)
Sn  0.7002  0.7500  0.1958
S  0.4392  0.7500  0.6328
S  0.6929  0.2500  0.9488
Sc  0.2997  0.7500  0.3558
Ag  0.8972  0.7500  0.8986
Sn  0.2998  0.2500  0.8042
S  0.5608  0.2500  0.3672
S  0.9302  0.7500  0.6494
S  0.3071  0.7500  0.0512
Sc  0.7003  0.2500  0.6442
S  0.0698  0.2500  0.3506
Ag  0.1028  0.2500  0.1014

=====

(6)
First-principles (GGA-PBE) data for a relaxed ScAgSnS3 crystal, as listed in OQMD via LeMat-Bulk.

**Space group**: Pnma
**Offset from the most stable computed form**: 0.025 eV/atom

Cell: 12.9457 3.8673 10.7632 Å, 90.00 90.00 90.00°
Element x y z (fractional)
S  0.6345  0.2500  0.7819
Ag  0.9665  0.7500  0.0871
S  0.3930  0.7500  0.6427
Sc  0.4879  0.2500  0.1493
Sc  0.0121  0.7500  0.6493
S  0.3948  0.2500  0.9385
Sn  0.7354  0.7500  0.4706
S  0.8930  0.7500  0.8573
Sn  0.2354  0.7500  0.0294
Ag  0.4665  0.7500  0.4129
Ag  0.0335  0.2500  0.9129
S  0.1070  0.2500  0.1427
S  0.1052  0.7500  0.4385
S  0.3655  0.7500  0.2181
S  0.1345  0.2500  0.7181
S  0.8948  0.2500  0.5615
Ag  0.5335  0.2500  0.5871
S  0.6052  0.7500  0.0615
Sc  0.5121  0.7500  0.8507
S  0.8655  0.7500  0.2819
Sn  0.2646  0.2500  0.5294
S  0.6070  0.2500  0.3573
Sn  0.7646  0.2500  0.9706
Sc  0.9879  0.2500  0.3507

=====

(7)
First-principles (GGA-PBE) data for a relaxed ScAgSnS3 crystal, as listed in OQMD via LeMat-Bulk.

**Space group**: C2/m
**Offset from the most stable computed form**: 0.046 eV/atom

Cell: 8.6220 8.6220 8.2921 Å, 103.42 103.42 25.27°
Element x y z (fractional)
Ag  0.4731  0.4731  0.7825
Ag  0.5269  0.5269  0.2175
Sc  0.8347  0.8347  0.9132
Sn  0.1353  0.1353  0.5826
S  0.3251  0.3251  0.1330
Sn  0.8647  0.8647  0.4174
S  0.5000  0.5000  0.5000
Sc  0.1653  0.1653  0.0868
S  0.6851  0.6851  0.3085
S  0.0000  0.0000  0.0000
S  0.6749  0.6749  0.8670
S  0.3149  0.3149  0.6915

=====

(8)
First-principles (GGA-PBE) data for a relaxed ScAgSnS3 crystal, as listed in OQMD via LeMat-Bulk.

**Space group**: Cmcm
**Offset from the most stable computed form**: 0.000 eV/atom

Cell: 7.3316 7.3316 10.2226 Å, 90.00 90.00 29.92°
Element x y z (fractional)
S  0.0449  0.0449  0.2500
S  0.3760  0.3760  0.0183
S  0.6240  0.6240  0.9817
Sc  0.0000  0.0000  0.0000
Ag  0.6576  0.6576  0.7500
S  0.9551  0.9551  0.7500
Sn  0.6751  0.6751  0.2500
Sn  0.3249  0.3249  0.7500
Sc  0.0000  0.0000  0.5000
Ag  0.3424  0.3424  0.2500
S  0.3760  0.3760  0.4817
S  0.6240  0.6240  0.5183

=====

(9)
First-principles (GGA-PBE) data for a relaxed ScAgSnTeS2 crystal, as listed in OQMD via LeMat-Bulk.

**Energy**: -57.69 eV for the cell shown
**Space group**: Cmcm

Cell: 7.1405 7.1405 10.9614 Å, 90.00 90.00 148.19°
Element x y z (fractional)
S  0.8780  0.1220  0.4476
S  0.8780  0.1220  0.0524
Te  0.3867  0.6133  0.7500
Te  0.6133  0.3867  0.2500
S  0.1220  0.8780  0.5524
Sn  0.2868  0.7132  0.2500
Sc  0.5000  0.5000  0.0000
Ag  0.9669  0.0331  0.2500
Ag  0.0331  0.9669  0.7500
S  0.1220  0.8780  0.9476
Sc  0.5000  0.5000  0.5000
Sn  0.7132  0.2868  0.7500

=====

(10)
First-principles (GGA-PBE) data for a relaxed ScAgSnTe2S crystal, as listed in OQMD via LeMat-Bulk.

**Energy**: -54.90 eV for the cell shown
**Space group**: Cmcm

Cell: 7.4475 7.4475 10.1399 Å, 90.00 90.00 147.09°
Element x y z (fractional)
Te  0.3544  0.6456  0.5484
Ag  0.5167  0.4833  0.2500
Te  0.3544  0.6456  0.9516
Ag  0.4833  0.5167  0.7500
Sc  0.0000  0.0000  0.0000
Te  0.6456  0.3544  0.4516
Sn  0.2725  0.7275  0.2500
S  0.9192  0.0808  0.2500
Te  0.6456  0.3544  0.0484
Sn  0.7275  0.2725  0.7500
Sc  0.0000  0.0000  0.5000
S  0.0808  0.9192  0.7500

=====

(11)
First-principles (GGA-PBE) data for a relaxed SrScAgS3 crystal, as listed in OQMD via LeMat-Bulk.

**Space group**: Pnma
**Offset from the most stable computed form**: 0.032 eV/atom

Cell: 10.3476 3.8910 13.1706 Å, 90.00 90.00 90.00°
Element x y z (fractional)
S  0.7799  0.5000  0.3476
Sr  0.2781  0.5000  0.4907
Sc  0.4973  0.0000  0.7663
Ag  0.2432  0.5000  0.7713
S  0.9283  0.5000  0.6126
S  0.2799  0.5000  0.1524
S  0.0340  0.5000  0.8725
Ag  0.7568  0.0000  0.2287
Sr  0.7219  0.0000  0.5093
Sc  0.0027  0.5000  0.2663
Sc  0.9973  0.0000  0.7337
Sr  0.2219  0.0000  0.9907
Ag  0.7432  0.5000  0.7287
S  0.5717  0.0000  0.1126
S  0.5340  0.5000  0.6275
Ag  0.2568  0.0000  0.2713
S  0.2201  0.0000  0.6524
Sr  0.7781  0.5000  0.0093
S  0.9660  0.0000  0.1275
S  0.4283  0.5000  0.8874
S  0.4660  0.0000  0.3725
S  0.0717  0.0000  0.3874
Sc  0.5027  0.5000  0.2337
S  0.7201  0.0000  0.8476

=====

(12)
First-principles (GGA-PBE) data for a relaxed SrScAgS3 crystal, as listed in OQMD via LeMat-Bulk.

**Space group**: Cmcm
**Offset from the most stable computed form**: 0.031 eV/atom

Cell: 6.8765 6.8765 10.0026 Å, 90.00 90.00 33.23°
Element x y z (fractional)
S  0.6347  0.6347  0.5429
Sc  0.0000  0.0000  0.0000
Ag  0.4656  0.4656  0.2500
Sr  0.2506  0.2506  0.7500
Sr  0.7494  0.7494  0.2500
S  0.3653  0.3653  0.4571
Sc  0.0000  0.0000  0.5000
S  0.0832  0.0832  0.2500
Ag  0.5344  0.5344  0.7500
S  0.9168  0.9168  0.7500
S  0.3653  0.3653  0.0429
S  0.6347  0.6347  0.9571

=====

(13)
First-principles (GGA-PBE) data for a relaxed SrScAgS3 crystal, as listed in OQMD via LeMat-Bulk.

**Space group**: P2_1/m
**Offset from the most stable computed form**: 0.000 eV/atom

Cell: 7.6002 3.9265 9.1929 Å, 90.00 106.91 90.00°
Element x y z (fractional)
S  0.2917  0.7500  0.5454
S  0.4454  0.7500  0.1367
S  0.5546  0.2500  0.8633
Sr  0.2405  0.2500  0.2720
Sr  0.7595  0.7500  0.7280
S  0.0861  0.2500  0.8610
Ag  0.1041  0.2500  0.5959
Ag  0.8959  0.7500  0.4041
Sc  0.3156  0.7500  0.8464
S  0.9139  0.7500  0.1390
Sc  0.6844  0.2500  0.1536
S  0.7083  0.2500  0.4546

=====

(14)
First-principles (GGA-PBE) data for a relaxed ScAg2WS6 crystal, as listed in OQMD via LeMat-Bulk.

**Energy**: -51.47 eV for the cell shown
**Space group**: Fm-3m

Cell: 6.8152 6.8152 6.8152 Å, 60.00 60.00 60.00°
Element x y z (fractional)
Sc  0.5000  0.5000  0.5000
Ag  0.7500  0.7500  0.7500
S  0.2435  0.2435  0.7565
W  0.0000  0.0000  0.0000
S  0.7565  0.2435  0.7565
S  0.7565  0.7565  0.2435
S  0.2435  0.7565  0.7565
S  0.7565  0.2435  0.2435
S  0.2435  0.7565  0.2435
Ag  0.2500  0.2500  0.2500

=====

(15)
First-principles (GGA-PBE) data for a relaxed AgSeS6 crystal, as listed in OQMD via LeMat-Bulk.

**Energy**: -23.47 eV for the cell shown
**Space group**: F-43m

Cell: 6.2085 6.2085 6.2085 Å, 60.00 60.00 60.00°
Element x y z (fractional)
S  0.0462  0.4538  0.0462
S  0.0462  0.4538  0.4538
S  0.4538  0.0462  0.4538
S  0.4538  0.0462  0.0462
Se  0.0000  0.0000  0.0000
Ag  0.7500  0.7500  0.7500
S  0.0462  0.0462  0.4538
S  0.4538  0.4538  0.0462

=====

(16)
First-principles (GGA-PBE) data for a relaxed Ag2SeS crystal, as listed in OQMD via LeMat-Bulk.

**Energy**: -13.22 eV for the cell shown
**Space group**: Cm

Cell: 4.1919 4.1919 6.7071 Å, 111.11 111.11 53.19°
Element x y z (fractional)
Ag  0.4944  0.4944  0.4885
Se  0.1812  0.1812  0.7531
S  0.8218  0.8218  0.2471
Ag  0.0027  0.0027  0.0113

=====

(17)
First-principles (GGA-PBE) data for a relaxed SrSiAg2SeS3 crystal, as listed in OQMD via LeMat-Bulk.

**Energy**: -35.27 eV for the cell shown
**Space group**: P1

Cell: 6.2091 6.2294 6.2307 Å, 111.50 102.87 113.19°
Element x y z (fractional)
S  0.5205  0.9996  0.1559
Ag  0.7979  0.5005  0.3141
S  0.4800  0.6374  0.4763
Ag  0.2122  0.5032  0.6986
Se  0.8445  0.3751  0.8466
Sr  0.0031  0.0023  0.0043
S  0.1528  0.9925  0.5163
Si  0.4890  0.9895  0.4878

=====

(18)
First-principles (GGA-PBE) data for a relaxed SrSiAg2Se3S crystal, as listed in OQMD via LeMat-Bulk.

**Energy**: -33.51 eV for the cell shown
**Space group**: P1

Cell: 6.3470 6.3967 6.4246 Å, 103.66 111.20 113.25°
Element x y z (fractional)
S  0.3601  0.5163  0.5130
Se  0.0049  0.4779  0.8506
Ag  0.4991  0.2017  0.6905
Se  0.6270  0.1482  0.1535
Si  0.0109  0.4999  0.4993
Se  0.9996  0.8495  0.4746
Sr  0.0033  0.0051  0.0045
Ag  0.4950  0.8013  0.3138

=====

(19)
First-principles (GGA-PBE) data for a relaxed TlSiAgSe2S crystal, as listed in OQMD via LeMat-Bulk.

**Energy**: -45.09 eV for the cell shown
**Space group**: Cmcm

Cell: 7.2122 7.2122 10.8973 Å, 90.00 90.00 151.23°
Element x y z (fractional)
S  0.9719  0.0281  0.7500
Ag  0.6197  0.3803  0.7500
Se  0.6226  0.3774  0.5150
Si  0.0000  0.0000  0.0000
Tl  0.6967  0.3033  0.2500
Si  0.0000  0.0000  0.5000
Ag  0.3803  0.6197  0.2500
Se  0.3774  0.6226  0.4850
Se  0.6226  0.3774  0.9850
S  0.0281  0.9719  0.2500
Se  0.3774  0.6226  0.0150
Tl  0.3033  0.6967  0.7500